[1]
{"formula": "NbFeNi4", "functional": "PBE", "state": "relaxed", "cell": [[-4.1923, -0.6202, 2.0296], [-0.8858, -3.9375, 2.4064], [-0.3887, 0.1443, 4.6805]], "species": ["Fe", "Nb", "Ni", "Ni", "Ni", "Ni"], "frac_coords": [[0.0000, 0.0000, 0.0000], [0.2500, 0.2500, 0.2500], [0.6255, 0.1235, 0.6255], [0.6255, 0.6255, 0.1235], [0.6255, 0.6255, 0.6255], [0.1235, 0.6255, 0.6255]], "dos_ef_per_ev_fu": 6.996, "magnetic_moment_mub_per_fu": 3.11, "de_polymorph_ev_per_fu": 0.00}

***

[2]
{"formula": "RbCd6Bi2", "functional": "PBE", "state": "relaxed", "cell": [[4.7752, 0.0000, 0.0000], [0.0000, 4.7752, 0.0000], [0.0000, 0.0000, 11.2618]], "species": ["Cd", "Cd", "Cd", "Cd", "Cd", "Cd", "Bi", "Bi", "Rb"], "frac_coords": [[0.5000, 0.0000, 0.6781], [0.5000, 0.0000, 0.3219], [0.0000, 0.5000, 0.3219], [0.0000, 0.5000, 0.6781], [0.5000, 0.5000, 0.5000], [0.0000, 0.0000, 0.5000], [0.5000, 0.5000, 0.1509], [0.5000, 0.5000, 0.8491], [0.0000, 0.0000, 0.0000]], "dos_ef_per_ev_fu": 3.130, "magnetic_moment_mub_per_fu": 0.00}

***

[3]
{"formula": "HfSc2SnC", "functional": "PBE", "state": "relaxed", "cell": [[-0.5178, 3.9705, -2.1158], [-4.3727, -0.9453, -0.7038], [-1.0536, 1.9528, 3.9225]], "species": ["Sc", "Sc", "C", "Hf", "Sn"], "frac_coords": [[0.0000, 0.5000, 0.0000], [0.5000, 0.0000, 0.0000], [0.0000, 0.0000, 0.0000], [0.0000, 0.0000, 0.5000], [0.5000, 0.5000, 0.5000]], "dos_ef_per_ev_fu": 2.404, "magnetic_moment_mub_per_fu": 0.00}

***

[4]
{"formula": "Ba6PtPb2O", "functional": "PBE", "state": "relaxed", "cell": [[-5.3027, 1.8052, 6.0353], [5.5470, -2.3983, 5.5909], [4.2188, 10.8400, 0.4643]], "species": ["Ba", "Ba", "Ba", "Ba", "Ba", "Ba", "Ba", "Ba", "Ba", "Ba", "Ba", "Ba", "Pb", "Pb", "Pb", "Pb", "O", "O", "Pt", "Pt"], "frac_coords": [[0.7369, 0.0111, 0.5000], [0.0000, 0.7504, 0.7626], [0.7379, 0.4862, 0.5000], [0.5000, 0.2496, 0.7374], [0.0000, 0.7504, 0.2374], [0.2631, 0.0111, 0.5000], [0.2379, 0.5138, 0.0000], [0.7621, 0.5138, 0.0000], [0.2369, 0.9889, 0.0000], [0.5000, 0.2496, 0.2626], [0.2621, 0.4862, 0.5000], [0.7631, 0.9889, 0.0000], [0.5000, 0.7502, 0.2503], [0.0000, 0.2498, 0.2497], [0.5000, 0.7502, 0.7497], [0.0000, 0.2498, 0.7503], [0.5000, 0.2493, 0.5000], [0.0000, 0.7507, 0.0000], [0.5000, 0.2508, 0.0000], [0.0000, 0.7492, 0.5000]], "dos_ef_per_ev_fu": 1.342, "magnetic_moment_mub_per_fu": 0.00}

***

[5]
{"formula": "SmHoPu", "functional": "PBE", "state": "relaxed", "cell": [[-0.8067, 2.3301, 2.5395], [-2.5722, -1.4586, -1.9456], [-0.6545, -6.3932, 5.6580]], "species": ["Pu", "Sm", "Ho"], "frac_coords": [[0.6667, 0.3333, 0.3358], [0.0000, 0.0000, 0.0020], [0.3333, 0.6667, 0.6623]], "dos_ef_per_ev_fu": 8.719, "magnetic_moment_mub_per_fu": 6.20, "de_polymorph_ev_per_fu": 0.05}

***

[6]
{"formula": "K2Hg", "functional": "PBE", "state": "relaxed", "cell": [[8.2322, -0.0040, 0.0000], [5.9728, 5.6652, 0.0000], [-7.1025, -2.8306, 3.0514]], "species": ["K", "K", "Hg"], "frac_coords": [[0.1357, 0.1357, 0.0000], [0.8643, 0.8643, 0.0000], [0.5000, 0.5000, 0.0000]], "dos_ef_per_ev_fu": 1.879, "magnetic_moment_mub_per_fu": 0.00, "de_polymorph_ev_per_fu": 0.05}

***

[7]
{"formula": "SnSbI5", "functional": "PBE", "state": "relaxed", "cell": [[-3.8821, 0.7308, -1.6852], [-1.8368, -8.8641, 0.3875], [-6.1214, 1.7577, 14.8634]], "species": ["I", "I", "I", "I", "I", "I", "I", "I", "I", "I", "Sb", "Sb", "Sn", "Sn"], "frac_coords": [[0.2500, 0.8345, 0.0632], [0.7500, 0.6574, 0.8684], [0.2500, 0.0175, 0.2940], [0.7500, 0.9825, 0.7060], [0.7500, 0.1655, 0.9368], [0.2500, 0.7331, 0.5391], [0.7500, 0.5872, 0.2960], [0.2500, 0.4128, 0.7040], [0.7500, 0.2669, 0.4609], [0.2500, 0.3426, 0.1316], [0.7500, 0.6571, 0.6707], [0.2500, 0.3429, 0.3293], [0.2500, 0.9252, 0.8750], [0.7500, 0.0748, 0.1250]], "dos_ef_per_ev_fu": 0.000, "magnetic_moment_mub_per_fu": 0.00}

***

[8]
{"formula": "MnCoPd3", "functional": "PBE", "state": "relaxed", "cell": [[4.5018, 0.0000, 0.0000], [0.0000, 4.5018, 0.0000], [0.0000, 0.0000, 4.5018]], "species": ["Pd", "Pd", "Pd", "Co", "Mn"], "frac_coords": [[0.0000, 0.5000, 0.0000], [0.5000, 0.0000, 0.0000], [0.0000, 0.0000, 0.5000], [0.5000, 0.5000, 0.5000], [0.0000, 0.0000, 0.0000]], "dos_ef_per_ev_fu": 15.786, "magnetic_moment_mub_per_fu": 1.91, "de_polymorph_ev_per_fu": 1.96}

***

[9]
{"formula": "Ac2PaOs2N6", "functional": "PBE", "state": "relaxed", "cell": [[-2.8864, -4.7888, 1.6225], [-1.1710, -4.1564, -3.9051], [3.9740, -5.7390, 0.5766]], "species": ["N", "N", "N", "N", "N", "N", "Os", "Os", "Pa", "Ac", "Ac"], "frac_coords": [[0.2512, 0.7726, 0.7250], [0.2512, 0.2512, 0.7250], [0.7488, 0.7488, 0.2750], [0.7726, 0.2512, 0.7250], [0.2274, 0.7488, 0.2750], [0.7488, 0.2274, 0.2750], [0.3943, 0.3943, 0.8171], [0.6057, 0.6057, 0.1829], [0.0000, 0.0000, 0.0000], [0.2128, 0.2128, 0.3615], [0.7872, 0.7872, 0.6385]], "dos_ef_per_ev_fu": 7.112, "magnetic_moment_mub_per_fu": 0.00}

***

[10]
{"formula": "TaTe4", "functional": "PBE", "state": "relaxed", "cell": [[-4.0198, 2.8563, 2.1814], [-2.8537, -4.5262, 0.6678], [2.1848, -0.6566, 4.8858]], "species": ["Te", "Te", "Te", "Te", "Ta"], "frac_coords": [[0.5000, 0.0000, 0.5000], [0.0000, 0.0000, 0.0000], [0.0000, 0.5000, 0.5000], [0.5000, 0.5000, 0.0000], [0.5000, 0.5000, 0.5000]], "dos_ef_per_ev_fu": 5.417, "magnetic_moment_mub_per_fu": 0.00, "de_polymorph_ev_per_fu": 2.84}

***

[11]
{"formula": "LuCrPdRh", "functional": "PBE", "state": "relaxed", "cell": [[-0.5271, 4.5425, 0.3374], [-3.8064, 1.9918, -1.6033], [-3.0801, 1.7403, 2.9173]], "species": ["Lu", "Pd", "Cr", "Rh"], "frac_coords": [[0.2500, 0.2500, 0.2500], [0.0000, 0.0000, 0.0000], [0.7500, 0.7500, 0.7500], [0.5000, 0.5000, 0.5000]], "dos_ef_per_ev_fu": 3.316, "magnetic_moment_mub_per_fu": 4.01}

***

[12]
{"formula": "Pr4AlAg", "functional": "PBE", "state": "relaxed", "cell": [[-1.7784, 0.5024, -3.2863], [-5.9764, -3.2458, 0.5753], [-0.6332, 8.6883, -0.4919]], "species": ["Pr", "Pr", "Pr", "Pr", "Ag", "Al"], "frac_coords": [[0.1769, 0.4668, 0.1793], [0.3234, 0.0288, 0.3243], [0.6766, 0.9712, 0.6757], [0.8231, 0.5332, 0.8207], [0.0000, 0.0000, 0.0000], [0.5000, 0.5000, 0.5000]], "dos_ef_per_ev_fu": 6.436, "magnetic_moment_mub_per_fu": 1.27, "de_polymorph_ev_per_fu": 0.00}

***

For reference, uncorrected energy by record: -42.47 -14.88 -39.25 -78.00 -23.23 -2.96 -36.38 -25.53 -97.12 -22.89 -28.46 -26.69 eV per cell.